Entry 1:
Density functional theory data (GGA-PBE) for Pr2Y2Tm after structural relaxation.

Results
* raw total energy: -5.37 eV per atom
* N(E_F): 16.565 states/eV per cell
* magnetization: 0.0000 μB/atom
* ΔE_f: 0.0174 eV per atom

Lattice parameters (Å, degrees): 8.5960 8.5960 6.8567 102.93 102.93 43.17
Positions (direct):
Pr 0.0187 0.1813 0.4439
Pr 0.1813 0.0187 0.9439
Pr 0.8187 0.9813 0.0561
Pr 0.9813 0.8187 0.5561
Y 0.2211 0.3810 0.8483
Y 0.3810 0.2211 0.3483
Y 0.6190 0.7789 0.6517
Y 0.7789 0.6190 0.1517
Tm 0.4168 0.5832 0.2500
Tm 0.5832 0.4168 0.7500



Entry 2:
Density functional theory data (GGA-PBE) for PrAg2Br5 after structural relaxation.

Results
* raw total energy: -3.41 eV per atom
* raw formation energy: -1054 meV per atom
* N(E_F): 0.000 states/eV per cell
* magnetization: 0.0000 μB/atom

Lattice parameters (Å, degrees): 5.9165 7.6181 7.7085 82.87 68.33 68.09
Positions (direct):
Pr 0.0000 0.0000 0.0000
Ag 0.4781 0.0006 0.4942
Ag 0.4869 0.4669 0.0648
Br 0.0105 0.6674 0.2368
Br 0.2585 0.7692 0.6621
Br 0.4791 0.0110 0.0209
Br 0.6938 0.2413 0.3471
Br 0.9239 0.3489 0.7907



Entry 3:
Density functional theory data (GGA-PBE) for Er4InRh7 after structural relaxation.

Results
* raw total energy: -6.46 eV per atom
* N(E_F): 12.528 states/eV per cell
* magnetization: 0.0000 μB/atom
* ΔE_f: -0.4266 eV per atom

Lattice parameters (Å, degrees): 6.0597 6.0597 9.9021 117.63 117.63 48.78
Positions (direct):
Er 0.0940 0.0940 0.2827
Er 0.2610 0.2610 0.8400
Er 0.7390 0.7390 0.1600
Er 0.9060 0.9060 0.7173
In 0.5000 0.5000 0.5000
Rh 0.0000 0.0000 0.5000
Rh 0.1264 0.1264 0.0118
Rh 0.2946 0.2946 0.5877
Rh 0.4190 0.4190 0.1880
Rh 0.5810 0.5810 0.8120
Rh 0.7054 0.7054 0.4123
Rh 0.8736 0.8736 0.9882



Entry 4:
Density functional theory data (GGA-PBE) for YScNb2 after structural relaxation.

Results
* raw total energy: -7.47 eV per atom
* N(E_F): 5.556 states/eV per cell
* magnetization: 0.0000 μB/atom
* ΔE_f: 0.7616 eV per atom

Lattice parameters (Å, degrees): 6.2777 6.2777 6.2777 102.81 102.81 123.81
Positions (direct):
Y 0.0000 0.0000 0.0000
Y 0.7500 0.2500 0.5000
Sc 0.2500 0.7500 0.5000
Sc 0.5000 0.5000 0.0000
Nb 0.1384 0.6250 0.0134
Nb 0.3750 0.3884 0.5134
Nb 0.6116 0.1250 0.9866
Nb 0.8750 0.8616 0.4866



Entry 5:
Density functional theory data (GGA-PBE) for Ta5Ga5B after structural relaxation.

Results
* raw total energy: -7.44 eV per atom
* N(E_F): 3.275 states/eV per cell
* magnetization: 0.0000 μB/atom
* ΔE_f: -0.0742 eV per atom

Lattice parameters (Å, degrees): 5.5837 5.5837 8.1772 113.04 113.04 53.14
Positions (direct):
Ta 0.0000 0.0000 0.0000
Ta 0.3211 0.3211 0.1026
Ta 0.3421 0.3421 0.7213
Ta 0.6579 0.6579 0.2787
Ta 0.6789 0.6789 0.8974
Ga 0.0791 0.0791 0.7280
Ga 0.2086 0.2086 0.3576
Ga 0.5000 0.5000 0.5000
Ga 0.7914 0.7914 0.6424
Ga 0.9209 0.9209 0.2720
B 0.5000 0.5000 0.0000



Entry 6:
Density functional theory data (GGA-PBE) for PmTlSiO5 after structural relaxation.

Results
* raw total energy: -6.99 eV per atom
* raw formation energy: -2327 meV per atom
* N(E_F): 0.000 states/eV per cell
* magnetization: 0.0000 μB/atom

Lattice parameters (Å, degrees): 5.8523 5.8523 7.0182 95.23 95.23 108.06
Positions (direct):
Pm 0.1195 0.8805 0.7500
Pm 0.8805 0.1195 0.2500
Tl 0.5000 0.5000 0.0000
Tl 0.5000 0.5000 0.5000
Si 0.2120 0.7880 0.2500
Si 0.7880 0.2120 0.7500
O 0.0085 0.7970 0.0749
O 0.1558 0.5162 0.3225
O 0.2030 0.9915 0.4251
O 0.3766 0.6234 0.7500
O 0.4838 0.8442 0.1775
O 0.5162 0.1558 0.8225
O 0.6234 0.3766 0.2500
O 0.7970 0.0085 0.5749
O 0.8442 0.4838 0.6775
O 0.9915 0.2030 0.9251



Entry 7:
Density functional theory data (GGA-PBE) for Zr2RhBr after structural relaxation.

Results
* raw total energy: -6.99 eV per atom
* raw formation energy: -457 meV per atom
* N(E_F): 1.888 states/eV per cell
* magnetization: 0.0000 μB/atom

Lattice parameters (Å, degrees): 3.3823 3.3823 7.6616 90.00 90.00 90.00
Positions (direct):
Zr 0.0000 0.0000 0.0000
Zr 0.5000 0.5000 0.2773
Rh 0.5000 0.5000 0.8476
Br 0.0000 0.0000 0.5052



Entry 8:
Density functional theory data (GGA-PBE) for DyI2F after structural relaxation.

Results
* raw total energy: -4.70 eV per atom
* raw formation energy: -2308 meV per atom
* N(E_F): 0.000 states/eV per cell
* magnetization: 0.0000 μB/atom

Lattice parameters (Å, degrees): 8.5470 8.5470 8.5470 150.47 150.34 42.35
Positions (direct):
Dy 0.0000 0.0000 0.0000
I 0.1343 0.6343 0.5000
I 0.8657 0.3657 0.5000
F 0.5000 0.0000 0.5000



Entry 9:
Density functional theory data (GGA-PBE) for PuAl3Ga3 after structural relaxation.

Results
* raw total energy: -5.05 eV per atom
* N(E_F): 46.383 states/eV per cell
* magnetization: 0.8485 μB/atom
* ΔE_f: -0.1060 eV per atom

Lattice parameters (Å, degrees): 8.1139 8.1139 8.1139 90.00 90.00 90.00
Positions (direct):
Pu 0.0235 0.4765 0.5235
Pu 0.4765 0.5235 0.0235
Pu 0.5235 0.0235 0.4765
Pu 0.9765 0.9765 0.9765
Al 0.1307 0.6307 0.8693
Al 0.1381 0.8619 0.3619
Al 0.1867 0.1867 0.1867
Al 0.3133 0.8133 0.6867
Al 0.3619 0.1381 0.8619
Al 0.3693 0.3693 0.3693
Al 0.6307 0.8693 0.1307
Al 0.6381 0.6381 0.6381
Al 0.6867 0.3133 0.8133
Al 0.8133 0.6867 0.3133
Al 0.8619 0.3619 0.1381
Al 0.8693 0.1307 0.6307
Ga 0.0729 0.3160 0.8721
Ga 0.1279 0.5729 0.1840
Ga 0.1840 0.1279 0.5729
Ga 0.3160 0.8721 0.0729
Ga 0.3721 0.4271 0.6840
Ga 0.4271 0.6840 0.3721
Ga 0.5729 0.1840 0.1279
Ga 0.6279 0.9271 0.8160
Ga 0.6840 0.3721 0.4271
Ga 0.8160 0.6279 0.9271
Ga 0.8721 0.0729 0.3160
Ga 0.9271 0.8160 0.6279



Entry 10:
Density functional theory data (GGA-PBE) for Fe2Ir6Ru after structural relaxation.

Results
* raw total energy: -8.85 eV per atom
* N(E_F): 9.810 states/eV per cell
* magnetization: 0.4619 μB/atom
* ΔE_f: -0.0279 eV per atom

Lattice parameters (Å, degrees): 4.6862 4.6884 6.7523 76.43 83.11 60.09
Positions (direct):
Fe 0.1674 0.4442 0.1644
Fe 0.8326 0.5558 0.8356
Ir 0.1651 0.8844 0.8356
Ir 0.1657 0.6624 0.5033
Ir 0.4980 0.2237 0.8358
Ir 0.5020 0.7763 0.1642
Ir 0.8343 0.3376 0.4967
Ir 0.8349 0.1156 0.1644
Ru 0.5000 0.0000 0.5000



Entry 11:
Density functional theory data (GGA-PBE) for Pm2Nd3Er2 after structural relaxation.

Results
* raw total energy: -4.69 eV per atom
* N(E_F): 9.447 states/eV per cell
* magnetization: 0.0000 μB/atom
* ΔE_f: 0.0137 eV per atom

Lattice parameters (Å, degrees): 6.2661 6.2661 10.8567 95.63 95.63 33.64
Positions (direct):
Pm 0.2163 0.2163 0.3565
Pm 0.7837 0.7837 0.6435
Nd 0.3586 0.3586 0.9294
Nd 0.5000 0.5000 0.5000
Nd 0.6414 0.6414 0.0706
Er 0.0711 0.0711 0.7861
Er 0.9289 0.9289 0.2139



Entry 12:
Density functional theory data (GGA-PBE) for Sr2AlRhO5 after structural relaxation.

Results
* raw total energy: -6.63 eV per atom
* raw formation energy: -2271 meV per atom
* magnetization: 0.0000 μB/atom

Lattice parameters (Å, degrees): 7.1872 7.1872 10.4611 90.00 90.00 153.40
Positions (direct):
Sr 0.1086 0.8914 0.5000
Sr 0.1375 0.8625 0.1436
Sr 0.8625 0.1375 0.6436
Sr 0.8914 0.1086 0.0000
Al 0.4409 0.5591 0.2725
Al 0.5591 0.4409 0.7725
Rh 0.2102 0.7898 0.8560
Rh 0.7898 0.2102 0.3560
O 0.0522 0.9478 0.8509
O 0.2851 0.7149 0.4807
O 0.3133 0.6867 0.2300
O 0.3571 0.6429 0.8312
O 0.4975 0.5025 0.1241
O 0.5025 0.4975 0.6241
O 0.6429 0.3571 0.3312
O 0.6867 0.3133 0.7300
O 0.7149 0.2851 0.9807
O 0.9478 0.0522 0.3509



Entry 13:
Density functional theory data (GGA-PBE) for In3SnPd12 after structural relaxation.

Results
* raw total energy: -5.11 eV per atom
* N(E_F): 14.266 states/eV per cell
* magnetization: 0.0000 μB/atom
* ΔE_f: -0.4483 eV per atom

Lattice parameters (Å, degrees): 4.0428 4.0428 16.1206 90.00 90.00 90.00
Positions (direct):
In 0.0000 0.0000 0.0000
In 0.0000 0.0000 0.2494
In 0.0000 0.0000 0.7506
Sn 0.0000 0.0000 0.5000
Pd 0.0000 0.5000 0.1250
Pd 0.0000 0.5000 0.3760
Pd 0.0000 0.5000 0.6240
Pd 0.0000 0.5000 0.8750
Pd 0.5000 0.0000 0.1250
Pd 0.5000 0.0000 0.3760
Pd 0.5000 0.0000 0.6240
Pd 0.5000 0.0000 0.8750
Pd 0.5000 0.5000 0.0000
Pd 0.5000 0.5000 0.2510
Pd 0.5000 0.5000 0.5000
Pd 0.5000 0.5000 0.7490



Entry 14:
Density functional theory data (GGA-PBE) for LaSc4Te6 after structural relaxation.

Results
* raw total energy: -5.74 eV per atom
* raw formation energy: -1274 meV per atom
* N(E_F): 10.920 states/eV per cell
* magnetization: 0.0000 μB/atom

Lattice parameters (Å, degrees): 7.1768 7.1768 21.4596 90.00 90.00 145.85
Positions (direct):
La 0.1528 0.8472 0.7500
La 0.8472 0.1528 0.2500
Sc 0.0943 0.9057 0.1221
Sc 0.0943 0.9057 0.3779
Sc 0.3535 0.6465 0.0343
Sc 0.3535 0.6465 0.4657
Sc 0.6465 0.3535 0.5343
Sc 0.6465 0.3535 0.9657
Sc 0.9057 0.0943 0.6221
Sc 0.9057 0.0943 0.8779
Te 0.0000 0.0000 0.0000
Te 0.0000 0.0000 0.5000
Te 0.1712 0.8288 0.2500
Te 0.2645 0.7355 0.5916
Te 0.2645 0.7355 0.9084
Te 0.4551 0.5449 0.1573
Te 0.4551 0.5449 0.3427
Te 0.5449 0.4551 0.6573
Te 0.5449 0.4551 0.8427
Te 0.7355 0.2645 0.0916
Te 0.7355 0.2645 0.4084
Te 0.8288 0.1712 0.7500



Entry 15:
Density functional theory data (GGA-PBE) for Er2ThPaC4 after structural relaxation.

Results
* raw total energy: -8.15 eV per atom
* N(E_F): 9.618 states/eV per cell
* magnetization: 0.0000 μB/atom
* ΔE_f: -0.2785 eV per atom

Lattice parameters (Å, degrees): 6.2087 3.6563 6.3046 90.00 109.50 90.00
Positions (direct):
Er 0.0000 0.0000 0.0000
Er 0.0000 0.5000 0.5000
Th 0.5000 0.0000 0.5000
Pa 0.5000 0.5000 0.0000
C 0.2580 0.5000 0.2386
C 0.2647 0.0000 0.7650
C 0.7353 0.0000 0.2350
C 0.7420 0.5000 0.7614



Entry 16:
Density functional theory data (GGA-PBE) for AcBiO2 after structural relaxation.

Results
* raw total energy: -6.70 eV per atom
* raw formation energy: -2227 meV per atom
* N(E_F): 0.431 states/eV per cell
* magnetization: 0.0000 μB/atom

Lattice parameters (Å, degrees): 7.3338 7.3338 7.3338 30.99 30.99 30.99
Positions (direct):
Ac 0.0000 0.0000 0.0000
Bi 0.5000 0.5000 0.5000
O 0.3865 0.3865 0.3865
O 0.6135 0.6135 0.6135



Entry 17:
Density functional theory data (GGA-PBE) for InW2Br after structural relaxation.

Results
* raw total energy: -6.12 eV per atom
* raw formation energy: 1459 meV per atom
* N(E_F): 3.310 states/eV per cell
* magnetization: 0.0000 μB/atom

Lattice parameters (Å, degrees): 5.5296 5.5296 5.5296 137.51 137.51 61.66
Positions (direct):
In 0.0000 0.0000 0.0000
W 0.2500 0.7500 0.5000
W 0.7500 0.2500 0.5000
Br 0.5000 0.5000 0.0000



Entry 18:
Density functional theory data (GGA-PBE) for Pu2Ga7Ir after structural relaxation.

Results
* raw total energy: -6.19 eV per atom
* N(E_F): 22.216 states/eV per cell
* magnetization: 1.0938 μB/atom
* ΔE_f: -0.3216 eV per atom

Lattice parameters (Å, degrees): 4.1818 4.1818 10.8547 90.00 90.00 90.00
Positions (direct):
Pu 0.0000 0.5000 0.2439
Pu 0.5000 0.0000 0.7561
Ga 0.0000 0.0000 0.0000
Ga 0.0000 0.0000 0.5000
Ga 0.0000 0.5000 0.6416
Ga 0.0000 0.5000 0.8671
Ga 0.5000 0.0000 0.1329
Ga 0.5000 0.0000 0.3584
Ga 0.5000 0.5000 0.5000
Ir 0.5000 0.5000 0.0000



Entry 19:
Density functional theory data (GGA-PBE) for Ca3Pa3TiN8 after structural relaxation.

Results
* raw total energy: -8.67 eV per atom
* raw formation energy: -1401 meV per atom
* N(E_F): 5.736 states/eV per cell
* magnetization: 0.0000 μB/atom

Lattice parameters (Å, degrees): 6.9316 6.9316 6.9316 59.43 59.43 59.43
Positions (direct):
Ca 0.0000 0.5000 0.5000
Ca 0.5000 0.0000 0.5000
Ca 0.5000 0.5000 0.0000
Pa 0.0000 0.0000 0.5000
Pa 0.0000 0.5000 0.0000
Pa 0.5000 0.0000 0.0000
Ti 0.5000 0.5000 0.5000
N 0.2436 0.2436 0.2436
N 0.2471 0.7218 0.7218
N 0.2782 0.2782 0.7529
N 0.2782 0.7529 0.2782
N 0.7218 0.2471 0.7218
N 0.7218 0.7218 0.2471
N 0.7529 0.2782 0.2782
N 0.7564 0.7564 0.7564



Entry 20:
Density functional theory data (GGA-PBE) for FeNiAu2 after structural relaxation.

Results
* raw total energy: -5.07 eV per atom
* N(E_F): 3.299 states/eV per cell
* magnetization: 0.8623 μB/atom
* ΔE_f: 0.1282 eV per atom

Lattice parameters (Å, degrees): 2.8355 3.6232 5.8097 90.00 90.00 90.00
Positions (direct):
Fe 0.0000 0.0000 0.0000
Ni 0.0000 0.0000 0.5000
Au 0.5000 0.5000 0.2537
Au 0.5000 0.5000 0.7463